Below is a geometry-optimized Dy3Y5Ho2 structure, with properties calculated at the GGA-PBE level.

Geometry as extended XYZ:
```
20
Lattice="5.349 -7.954 0.000 5.349 7.954 0.000 -5.348 0.000 7.726" Properties=species:S:1:pos:R:3 pbc="T T T"
Dy 1.319 2.059 0.366
Dy 1.338 4.444 5.794
Dy -1.355 -2.059 4.229
Dy 6.706 2.059 3.497
Dy 4.012 -4.444 1.931
Dy 4.031 -2.059 7.360
Y 1.338 7.640 5.794
Y -1.331 2.177 5.826
Y 4.012 3.511 1.931
Y 1.343 -2.177 1.963
Y 4.012 0.327 1.931
Y 1.338 -0.327 5.794
Y 4.008 2.177 5.763
Y 1.338 -3.511 5.794
Y 6.682 -2.177 1.900
Y 4.012 -7.640 1.931
Ho 1.321 2.071 3.509
Ho -1.354 -2.071 7.372
Ho 6.704 2.071 0.354
Ho 4.030 -2.071 4.217
```

Calculated values
The formation energy is 0.194 eV per atom. Its space group is C2/c. The value obtained for the energy above the lowest structure with this stoichiometry is 0.000 eV/atom. The size of the total moment comes out at 0.00 Bohr magnetons per cell.